1) Computed, not measured: a relaxed ZrTi2TlH crystal at the PBE level of DFT. Values from VASP.

crystal system = tetragonal
Fermi-level density of states = 0.9239 states/eV per atom

Structure (Quantum ESPRESSO input):
```
&SYSTEM
  ibrav = 0, nat = 5, ntyp = 4
/
ATOMIC_SPECIES
H 1.01 H.upf
Tl 204.38 Tl.upf
Zr 91.22 Zr.upf
Ti 47.87 Ti.upf
CELL_PARAMETERS angstrom
-0.830 -3.888 1.647
4.198 -0.581 0.744
-0.449 1.747 3.899
ATOMIC_POSITIONS crystal
H 0.000 0.000 0.000
Tl 0.500 0.500 0.500
Zr 0.000 0.000 0.500
Ti 0.000 0.500 0.000
Ti 0.500 0.000 0.000
```

=====

2) Computed, not measured: a relaxed ZrTi2TlH crystal at the PBE level of DFT. Values from VASP.

crystal system = tetragonal
Fermi-level density of states = 1.3812 states/eV per atom

Structure (Quantum ESPRESSO input):
```
&SYSTEM
  ibrav = 0, nat = 5, ntyp = 4
/
ATOMIC_SPECIES
H 1.01 H.upf
Tl 204.38 Tl.upf
Zr 91.22 Zr.upf
Ti 47.87 Ti.upf
CELL_PARAMETERS angstrom
-2.819 -0.131 3.018
-1.636 -3.404 -1.676
2.968 -2.732 2.653
ATOMIC_POSITIONS crystal
H 0.000 0.000 0.000
Tl 0.000 0.000 0.500
Zr 0.500 0.500 0.500
Ti 0.000 0.500 0.000
Ti 0.500 0.000 0.000
```

=====

1) is the most stable structure shown above.